Cs2NiAg2F6 (GGA+U, optimized geometry); space group = C2/m; final energy = -3.840 eV/atom
1.0
-3.782 4.556 2.904
-1.204 -6.378 0.949
5.187 2.222 3.270
F Ag Cs Ni
6 2 2 1
Direct
0.703 0.407 0.632 F
0.686 0.945 0.253 F
0.314 0.055 0.747 F
0.259 0.945 0.253 F
0.297 0.593 0.368 F
0.741 0.055 0.747 F
0.076 0.152 0.248 Ag
0.924 0.848 0.752 Ag
0.283 0.565 0.829 Cs
0.717 0.435 0.171 Cs
0.500 0.000 0.500 Ni